The following is a DFT calculation (PBE) of crystalline PuUV2 at its relaxed geometry.

Cell: 3.8011 3.8011 4.7384 Å, 90.00 90.00 90.00°
Fractional coordinates of all 4 atoms:
Pu1 0.0000 0.0000 0.0000
U1 0.5000 0.5000 0.0000
V1 0.0000 0.5000 0.5000
V2 0.5000 0.0000 0.5000

Results
- ΔH_f (0 K) (eV per atom) = 0.345
- M_tot (μB per formula unit) = 2.95
- ρ (g cm⁻³) = 14.163
- crystal system = tetragonal
- relative energy among the computed polymorphs (meV per atom) = 0
- DOS at the Fermi energy (states/eV/atom) = 2.107
- electronic total energy (eV/atom) = -10.620